No. 1
A relaxed structure of Li2FeNiIr, computed with PBE.

Computed properties:
Calculated volume (Å³ per cell): 78.7
Magnetization (μB/atom): 0.505
Formation enthalpy at 0 K (eV/atom): 1.015

Structure (POSCAR):
```
Li2FeNiIr
1.0
4.2325 0.0000 0.0000
0.0000 4.2325 0.0000
0.0000 0.0000 4.3939
Li Fe Ni Ir
2 1 1 1
Direct
0.0000 0.5000 0.0000
0.5000 0.0000 0.0000
0.0000 0.0000 0.0000
0.5000 0.5000 0.5000
0.0000 0.0000 0.5000
```

No. 2
A relaxed structure of LiPaFeIr, computed with PBE.

Computed properties:
Calculated volume (Å³ per cell): 66.1
Magnetization (μB/atom): 0.261
Formation enthalpy at 0 K (eV/atom): -0.200

Structure (POSCAR):
```
LiPaFeIr
1.0
0.0000 3.2097 3.2097
3.2097 0.0000 3.2097
3.2097 3.2097 0.0000
Li Pa Fe Ir
1 1 1 1
Direct
0.0000 0.0000 0.0000
0.5000 0.5000 0.5000
0.7500 0.7500 0.7500
0.2500 0.2500 0.2500
```

No. 3
A relaxed structure of Li2FeIrPb, computed with PBE.

Computed properties:
Calculated volume (Å³ per cell): 103.7
Magnetization (μB/atom): 0.588
Formation enthalpy at 0 K (eV/atom): 1.300

Structure (POSCAR):
```
Li2FeIrPb
1.0
4.6060 0.0000 0.0000
0.0000 4.6060 0.0000
0.0000 0.0000 4.8890
Li Fe Ir Pb
2 1 1 1
Direct
0.0000 0.5000 0.0000
0.5000 0.0000 0.0000
0.0000 0.0000 0.5000
0.5000 0.5000 0.5000
0.0000 0.0000 0.0000
```

No. 4
A relaxed structure of LiFeIrRh, computed with PBE.

Computed properties:
Calculated volume (Å³ per cell): 51.1
Magnetization (μB/atom): 0.818
Formation enthalpy at 0 K (eV/atom): -0.095

Structure (POSCAR):
```
LiFeIrRh
1.0
0.0000 2.9463 2.9463
2.9463 0.0000 2.9463
2.9463 2.9463 0.0000
Li Fe Ir Rh
1 1 1 1
Direct
0.0000 0.0000 0.0000
0.5000 0.5000 0.5000
0.2500 0.2500 0.2500
0.7500 0.7500 0.7500
```

No. 5
A relaxed structure of LiScFeIr, computed with PBE.

Computed properties:
Calculated volume (Å³ per cell): 60.7
Magnetization (μB/atom): 0.760
Formation enthalpy at 0 K (eV/atom): -0.283

Structure (POSCAR):
```
LiScFeIr
1.0
0.0000 3.1196 3.1196
3.1196 0.0000 3.1196
3.1196 3.1196 0.0000
Li Sc Fe Ir
1 1 1 1
Direct
0.0000 0.0000 0.0000
0.7500 0.7500 0.7500
0.2500 0.2500 0.2500
0.5000 0.5000 0.5000
```

No. 6
A relaxed structure of LiFeTcIr, computed with PBE.

Computed properties:
Calculated volume (Å³ per cell): 53.2
Magnetization (μB/atom): 0.631
Formation enthalpy at 0 K (eV/atom): 0.085

Structure (POSCAR):
```
LiFeTcIr
1.0
0.0000 2.9851 2.9851
2.9851 0.0000 2.9851
2.9851 2.9851 0.0000
Li Fe Tc Ir
1 1 1 1
Direct
0.0000 0.0000 0.0000
0.7500 0.7500 0.7500
0.5000 0.5000 0.5000
0.2500 0.2500 0.2500
```

No. 7
A relaxed structure of Li2TlFeIr, computed with PBE.

Computed properties:
Calculated volume (Å³ per cell): 103.9
Magnetization (μB/atom): 0.646
Formation enthalpy at 0 K (eV/atom): 0.484

Structure (POSCAR):
```
Li2TlFeIr
1.0
4.7095 0.0000 0.0000
0.0000 4.7095 0.0000
0.0000 0.0000 4.6828
Li Tl Fe Ir
2 1 1 1
Direct
0.0000 0.5000 0.0000
0.5000 0.0000 0.0000
0.0000 0.0000 0.5000
0.5000 0.5000 0.5000
0.5000 0.5000 0.0000
```

No. 8
A relaxed structure of LuScFeIr, computed with PBE.

Computed properties:
Calculated volume (Å³ per cell): 68.3
Magnetization (μB/atom): 0.072
Formation enthalpy at 0 K (eV/atom): -0.491

Structure (POSCAR):
```
LuScFeIr
1.0
0.0000 3.2444 3.2444
3.2444 0.0000 3.2444
3.2444 3.2444 0.0000
Lu Sc Fe Ir
1 1 1 1
Direct
0.0000 0.0000 0.0000
0.5000 0.5000 0.5000
0.2500 0.2500 0.2500
0.7500 0.7500 0.7500
```

No. 9
A relaxed structure of LuTaFeIr, computed with PBE.

Computed properties:
Calculated volume (Å³ per cell): 66.9
Magnetization (μB/atom): 0.264
Formation enthalpy at 0 K (eV/atom): -0.360

Structure (POSCAR):
```
LuTaFeIr
1.0
0.0000 3.2226 3.2226
3.2226 0.0000 3.2226
3.2226 3.2226 0.0000
Lu Ta Fe Ir
1 1 1 1
Direct
0.0000 0.0000 0.0000
0.5000 0.5000 0.5000
0.2500 0.2500 0.2500
0.7500 0.7500 0.7500
```

No. 10
A relaxed structure of LuTiFeIr, computed with PBE.

Computed properties:
Calculated volume (Å³ per cell): 64.2
Magnetization (μB/atom): 0.040
Formation enthalpy at 0 K (eV/atom): -0.488

Structure (POSCAR):
```
LuTiFeIr
1.0
0.0000 3.1782 3.1782
3.1782 0.0000 3.1782
3.1782 3.1782 0.0000
Lu Ti Fe Ir
1 1 1 1
Direct
0.0000 0.0000 0.0000
0.5000 0.5000 0.5000
0.2500 0.2500 0.2500
0.7500 0.7500 0.7500
```

No. 11
A relaxed structure of TmLuFeIr, computed with PBE.

Computed properties:
Calculated volume (Å³ per cell): 73.3
Magnetization (μB/atom): 0.078
Formation enthalpy at 0 K (eV/atom): -0.429

Structure (POSCAR):
```
TmLuFeIr
1.0
0.0000 3.3212 3.3212
3.3212 0.0000 3.3212
3.3212 3.3212 0.0000
Tm Lu Fe Ir
1 1 1 1
Direct
0.0000 0.0000 0.0000
0.5000 0.5000 0.5000
0.2500 0.2500 0.2500
0.7500 0.7500 0.7500
```

No. 12
A relaxed structure of MgFe2Ir, computed with PBE.

Computed properties:
Calculated volume (Å³ per cell): 56.5
Magnetization (μB/atom): 1.308
Formation enthalpy at 0 K (eV/atom): 0.113

Structure (POSCAR):
```
MgFe2Ir
1.0
1.3931 0.8043 8.4094
-1.3931 0.8043 8.4094
0.0000 -1.6086 8.4094
Mg Fe Ir
1 2 1
Direct
0.0000 0.0000 0.0000
0.4963 0.4963 0.4963
0.7579 0.7579 0.7579
0.2445 0.2445 0.2445
```

Question: Which of these has the lowest formation enthalpy at 0 K?
Answer: LuScFeIr

Question: What is the formation enthalpy at 0 K in the sixth record?
Answer: 0.085 eV/atom

Question: What is the formula in the eleventh record?
Answer: TmLuFeIr

Question: The lowest formation enthalpy at 0 K belongs to which entry?
Answer: LuScFeIr